Computed, not measured: a relaxed structure of Mg2NiWO6 at the PBE+U level of DFT.

Total magnetization ... 1.99 μB per formula unit
Energy above the most stable polymorph in this dataset ... 0.34 eV/f.u.
Total DFT energy (no corrections) ... -6.3694 eV/atom
V ... 10.57 Å³ per atom

a b c (Å): 5.1735 5.3320 9.2220
angles (deg): 90.00 123.80 90.00
With the nearest neighbours (Å) after each atom.
Fractional coordinates of all 20 atoms:
Mg  0.2289  0.0507  0.2347  4 O 2.06-2.11
Mg  0.2289  0.4493  0.7347  4 O 2.06-2.11
Mg  0.7711  0.5507  0.2653  4 O 2.06-2.11
Mg  0.7711  0.9493  0.7653  4 O 2.06-2.11
Ni  0.0000  0.0000  0.5000  6 O 2.01-2.17
Ni  0.0000  0.5000  0.0000  6 O 2.01-2.17
W  0.5000  0.0000  0.0000  6 O 1.93-1.97
W  0.5000  0.5000  0.5000  6 O 1.93-1.97
O  0.1305  0.1767  0.9468  1 W 1.93, 1 Ni 2.01, 1 Mg 2.07
O  0.1305  0.3233  0.4468  1 W 1.93, 1 Ni 2.01, 1 Mg 2.07
O  0.2480  0.6957  0.9153  1 W 1.95, 1 Mg 2.08, 1 Ni 2.11
O  0.2480  0.8043  0.4153  1 W 1.95, 1 Mg 2.08, 1 Ni 2.11
O  0.3930  0.0779  0.7635  1 W 1.97, 2 Mg 2.06-2.11, 1 Ni 2.17
O  0.3930  0.4221  0.2635  1 W 1.97, 2 Mg 2.06-2.11, 1 Ni 2.17
O  0.6070  0.5779  0.7365  1 W 1.97, 2 Mg 2.06-2.11, 1 Ni 2.17
O  0.6070  0.9221  0.2365  1 W 1.97, 2 Mg 2.06-2.11, 1 Ni 2.17
O  0.7520  0.1957  0.5847  1 W 1.95, 1 Mg 2.08, 1 Ni 2.11
O  0.7520  0.3043  0.0847  1 W 1.95, 1 Mg 2.08, 1 Ni 2.11
O  0.8695  0.6767  0.5532  1 W 1.93, 1 Ni 2.01, 1 Mg 2.07
O  0.8695  0.8233  0.0532  1 W 1.93, 1 Ni 2.01, 1 Mg 2.07